Run w
8
Lattice="4.310 0.000 0.000 2.094 3.767 0.000 0.430 0.176 10.425" Properties=species:S:1:pos:R:3 comment="RbBe2H | Alexandria | PBE-GGA | relaxed" magnetic_moment_mub_per_fu=0.000 dos_ef_per_ev_fu=0.946 pbc="T T T"
Rb 0.000 0.000 0.000
Rb 2.506 1.475 6.090
Be 3.862 3.551 3.049
Be 2.808 1.654 2.789
Be 6.032 3.550 3.294
Be 4.978 1.653 3.049
H 3.974 2.340 2.032
H 4.870 2.867 4.063

***

Run x
8
Lattice="4.300 0.000 0.000 2.150 3.725 0.000 2.062 0.973 10.870" Properties=species:S:1:pos:R:3 comment="RbBe2H | Alexandria | PBE-GGA | relaxed" magnetic_moment_mub_per_fu=0.001 dos_ef_per_ev_fu=1.920 pbc="T T T"
Rb 0.000 0.000 0.000
Rb 2.151 1.241 5.994
Be 3.207 1.853 2.778
Be 4.300 3.747 2.779
Be 6.450 3.726 3.480
Be 5.393 1.853 2.779
H 2.150 1.243 1.712
H 6.451 3.724 4.952

***

Run y
8
Lattice="4.294 0.000 0.000 2.147 3.719 0.000 0.006 0.015 9.593" Properties=species:S:1:pos:R:3 comment="RbBe2H | Alexandria | PBE-GGA | relaxed" magnetic_moment_mub_per_fu=0.000 dos_ef_per_ev_fu=1.064 pbc="T T T"
Rb 0.000 0.000 0.000
Rb 2.153 1.253 6.136
Be 2.157 1.260 2.847
Be 3.235 3.117 3.105
Be 4.304 1.265 3.104
Be 5.374 3.117 3.107
H 4.299 2.492 7.833
H 4.304 2.499 4.047

***

Run z
8
Lattice="3.759 0.000 0.000 0.000 4.237 0.000 -1.588 -0.079 10.652" Properties=species:S:1:pos:R:3 comment="RbBe2H | Alexandria | PBE-GGA | relaxed" magnetic_moment_mub_per_fu=0.000 dos_ef_per_ev_fu=0.810 pbc="T T T"
Rb 0.000 0.000 0.000
Rb 0.228 2.041 4.749
Be 0.182 1.020 7.871
Be 0.183 3.057 7.870
Be 2.047 4.157 7.194
Be 2.010 2.038 7.739
H 0.768 2.040 8.941
H 2.222 4.158 5.723

***

Calculated relative energies: run w 0.039; run x 0.018; run y 0.000; run z 0.024, given in eV/atom

***

Run w
16
Lattice="7.433 0.000 0.000 0.000 4.285 0.000 -0.296 0.000 9.677" Properties=species:S:1:pos:R:3 comment="RbBe2H | Alexandria | PBE-GGA | relaxed" magnetic_moment_mub_per_fu=0.000 dos_ef_per_ev_fu=0.681 pbc="T T T"
Rb 0.000 0.000 0.000
Rb 1.239 2.142 3.453
Rb 3.716 2.142 0.000
Rb 4.955 0.000 3.453
Be 1.259 0.000 6.468
Be 1.253 2.142 6.746
Be 3.107 1.068 6.438
Be 3.107 3.217 6.438
Be 4.969 0.000 6.746
Be 4.975 2.142 6.468
Be 6.824 1.075 6.438
Be 6.824 3.210 6.438
H 0.025 0.000 5.502
H 2.479 0.000 1.695
H 3.742 2.142 5.502
H 6.195 2.142 1.695

***

Run x
16
Lattice="7.432 0.000 0.000 0.000 4.285 0.000 -2.506 0.000 9.602" Properties=species:S:1:pos:R:3 comment="RbBe2H | Alexandria | PBE-GGA | relaxed" magnetic_moment_mub_per_fu=0.000 dos_ef_per_ev_fu=0.791 pbc="T T T"
Rb 0.000 0.000 0.000
Rb -1.273 2.143 6.145
Rb 3.716 2.143 0.000
Rb 2.443 0.000 6.145
Be -0.039 2.143 3.025
Be -0.042 0.000 3.311
Be 1.819 1.074 3.024
Be 1.819 3.211 3.024
Be 3.677 0.000 3.025
Be 3.674 2.143 3.311
Be 5.535 1.069 3.024
Be 5.535 3.216 3.024
H 1.199 2.143 2.080
H -0.028 0.000 7.894
H 4.915 0.000 2.080
H 3.689 2.143 7.894

***

Calculated relative energies: run w 0.007; run x 0.000, given in eV/atom

***

Run w
8
Lattice="3.795 0.000 0.000 0.007 4.312 0.000 0.368 0.496 10.440" Properties=species:S:1:pos:R:3 comment="RbBe2H | Alexandria | PBE-GGA | relaxed" magnetic_moment_mub_per_fu=0.000 dos_ef_per_ev_fu=1.085 pbc="T T T"
Rb 0.978 1.081 2.109
Rb 3.192 3.727 8.331
Be 1.118 0.775 5.396
Be 1.150 2.957 5.325
Be 3.020 1.850 5.114
Be 3.052 4.032 5.044
H 1.854 1.925 6.209
H 2.316 2.883 4.230

***

Run x
8
Lattice="3.818 0.000 0.000 0.000 4.164 0.000 0.192 1.218 10.510" Properties=species:S:1:pos:R:3 comment="RbBe2H | Alexandria | PBE-GGA | relaxed" magnetic_moment_mub_per_fu=0.000 dos_ef_per_ev_fu=0.789 pbc="T T T"
Rb 0.955 1.710 2.979
Rb 3.055 3.672 7.531
Be 1.147 2.762 10.254
Be 1.147 4.919 10.129
Be 2.863 0.463 0.381
Be 2.863 2.621 0.256
H 1.147 1.865 9.010
H 2.863 3.518 1.500

***

Run y
8
Lattice="0.000 4.074 4.074 4.074 0.000 4.074 4.074 4.074 0.000" Properties=species:S:1:pos:R:3 comment="RbBe2H | Alexandria | PBE-GGA | relaxed" magnetic_moment_mub_per_fu=0.000 dos_ef_per_ev_fu=1.579 pbc="T T T"
Rb 1.018 1.018 1.018
Rb 7.129 7.129 7.129
Be 4.074 2.037 2.037
Be 2.037 4.074 2.037
Be 2.037 2.037 4.074
Be 4.074 4.074 4.074
H 3.055 3.055 3.055
H 5.092 5.092 5.092

***

Run z
16
Lattice="7.246 0.000 0.000 0.000 7.246 0.000 0.000 0.000 7.246" Properties=species:S:1:pos:R:3 comment="RbBe2H | Alexandria | PBE-GGA | relaxed" magnetic_moment_mub_per_fu=0.000 dos_ef_per_ev_fu=0.903 pbc="T T T"
Rb 0.000 0.000 0.000
Rb 0.000 3.623 3.623
Rb 3.623 0.000 3.623
Rb 3.623 3.623 0.000
Be 1.812 1.812 1.812
Be 1.812 1.812 5.435
Be 1.812 5.435 1.812
Be 1.812 5.435 5.435
Be 5.435 1.812 1.812
Be 5.435 1.812 5.435
Be 5.435 5.435 1.812
Be 5.435 5.435 5.435
H 0.000 0.000 3.623
H 0.000 3.623 0.000
H 3.623 0.000 0.000
H 3.623 3.623 3.623

***

Calculated relative energies: run w 0.040; run x 0.000; run y 0.838; run z 1.617, given in eV/atom

***

Run w
6
Lattice="4.113 0.000 0.000 -0.002 6.319 0.000 -0.025 -0.020 6.905" Properties=species:S:1:pos:R:3 comment="RbBeH | Alexandria | PBE-GGA | relaxed" magnetic_moment_mub_per_fu=0.107 dos_ef_per_ev_fu=0.745 pbc="T T T"
Rb 0.000 0.000 0.000
Rb 2.028 3.170 3.462
Be 0.987 0.015 3.450
Be 3.065 0.015 3.448
H 4.083 1.090 3.488
H 4.081 5.256 3.429

***

Run x
3
Lattice="3.574 0.000 0.000 0.000 3.574 0.000 0.000 0.000 5.332" Properties=species:S:1:pos:R:3 comment="RbBeH | Alexandria | PBE-GGA | relaxed" magnetic_moment_mub_per_fu=0.000 dos_ef_per_ev_fu=1.190 pbc="T T T"
Rb 0.000 0.000 0.000
Be 1.787 1.787 2.738
H 1.787 1.787 4.166

***

Run y
12
Lattice="3.419 0.000 0.000 0.000 5.557 0.000 0.000 0.000 12.898" Properties=species:S:1:pos:R:3 comment="RbBeH | Alexandria | PBE-GGA | relaxed" magnetic_moment_mub_per_fu=0.000 dos_ef_per_ev_fu=0.394 pbc="T T T"
Rb 0.000 1.389 1.276
Rb 0.000 4.168 11.622
Rb 1.709 1.389 5.173
Rb 1.709 4.168 7.724
Be 0.000 1.389 8.982
Be 0.000 4.168 3.915
Be 1.709 1.389 10.364
Be 1.709 4.168 2.533
H 0.000 1.389 7.528
H 0.000 4.168 5.369
H 1.709 1.389 11.818
H 1.709 4.168 1.079

***

Calculated relative energies: run w 0.000; run x 0.427; run y 0.091, given in eV/atom

***

Run w
16
Lattice="8.197 0.000 0.000 0.000 8.197 0.000 0.000 0.000 8.197" Properties=species:S:1:pos:R:3 comment="Rb2BeH | Alexandria | PBE-GGA | relaxed" magnetic_moment_mub_per_fu=0.000 dos_ef_per_ev_fu=2.474 pbc="T T T"
Rb 2.049 2.049 2.049
Rb 2.049 2.049 6.148
Rb 2.049 6.148 2.049
Rb 2.049 6.148 6.148
Rb 6.148 2.049 2.049
Rb 6.148 2.049 6.148
Rb 6.148 6.148 2.049
Rb 6.148 6.148 6.148
Be 0.000 0.000 0.000
Be 0.000 4.099 4.099
Be 4.099 0.000 4.099
Be 4.099 4.099 0.000
H 0.000 0.000 4.099
H 0.000 4.099 0.000
H 4.099 0.000 0.000
H 4.099 4.099 4.099

***

Run x
16
Lattice="8.343 0.000 0.000 0.000 8.343 0.000 0.000 0.000 9.059" Properties=species:S:1:pos:R:3 comment="Rb2BeH | Alexandria | PBE-GGA | relaxed" magnetic_moment_mub_per_fu=0.975 dos_ef_per_ev_fu=1.728 pbc="T T T"
Rb 1.412 2.086 1.132
Rb 2.086 5.584 3.397
Rb 2.086 6.931 7.927
Rb 2.759 2.086 5.662
Rb 5.584 6.257 5.662
Rb 6.257 1.412 7.927
Rb 6.257 2.759 3.397
Rb 6.931 6.257 1.132
Be 0.000 0.000 4.530
Be 0.000 4.171 6.794
Be 4.171 0.000 2.265
Be 4.171 4.171 0.000
H 0.000 0.000 0.000
H 0.000 4.171 2.265
H 4.171 0.000 6.794
H 4.171 4.171 4.530

***

Calculated relative energies: run w 0.102; run x 0.000, given in eV/atom

***

Run w
16
Lattice="4.831 0.000 0.000 0.000 4.831 0.000 0.000 0.000 4.831" Properties=species:S:1:pos:R:3 comment="BeReH2 | Alexandria | PBE-GGA | relaxed" magnetic_moment_mub_per_fu=0.000 dos_ef_per_ev_fu=2.593 pbc="T T T"
Be 0.000 0.000 0.000
Be 0.000 2.416 2.416
Be 2.416 0.000 2.416
Be 2.416 2.416 0.000
Re 0.000 0.000 2.416
Re 0.000 2.416 0.000
Re 2.416 0.000 0.000
Re 2.416 2.416 2.416
H 1.208 1.208 1.208
H 1.208 1.208 3.623
H 1.208 3.623 1.208
H 1.208 3.623 3.623
H 3.623 1.208 1.208
H 3.623 1.208 3.623
H 3.623 3.623 1.208
H 3.623 3.623 3.623

***

Run x
16
Lattice="3.943 0.000 0.000 0.000 3.943 0.000 0.000 0.000 7.796" Properties=species:S:1:pos:R:3 comment="BeReH2 | Alexandria | PBE-GGA | relaxed" magnetic_moment_mub_per_fu=0.000 dos_ef_per_ev_fu=1.157 pbc="T T T"
Be 0.000 0.000 0.000
Be 0.000 1.972 1.949
Be 1.972 0.000 5.847
Be 1.972 1.972 3.898
Re 0.000 0.000 3.898
Re 0.000 1.972 5.847
Re 1.972 0.000 1.949
Re 1.972 1.972 0.000
H 0.786 0.986 0.974
H 0.986 2.758 2.923
H 0.986 3.157 6.821
H 1.186 0.986 4.872
H 2.758 2.958 4.872
H 2.958 0.786 6.821
H 2.958 1.186 2.923
H 3.157 2.958 0.974

***

Calculated relative energies: run w 0.330; run x 0.000, given in eV/atom

***

Run w
5
Lattice="3.369 0.000 0.000 0.000 3.369 0.000 0.000 0.000 3.369" Properties=species:S:1:pos:R:3 comment="BeReH3 | Alexandria | PBE-GGA | relaxed" magnetic_moment_mub_per_fu=0.000 dos_ef_per_ev_fu=0.096 pbc="T T T"
Be 0.000 0.000 0.000
Re 1.684 1.684 1.684
H 0.000 1.684 1.684
H 1.684 0.000 1.684
H 1.684 1.684 0.000

***

Run x
5
Lattice="3.098 0.000 0.000 0.000 3.098 0.000 0.000 0.000 3.098" Properties=species:S:1:pos:R:3 comment="BeReH3 | Alexandria | PBE-GGA | relaxed" magnetic_moment_mub_per_fu=0.000 dos_ef_per_ev_fu=1.029 pbc="T T T"
Be 0.000 0.000 0.000
Re 1.549 1.549 1.549
H 0.000 0.000 1.549
H 0.000 1.549 0.000
H 1.549 0.000 0.000

***

Calculated relative energies: run w 0.000; run x 0.060, given in eV/atom

***

Run w
5
Lattice="3.147 0.000 0.000 0.000 3.147 0.000 0.000 0.000 3.147" Properties=species:S:1:pos:R:3 comment="BeH3Rh | Alexandria | PBE-GGA | relaxed" magnetic_moment_mub_per_fu=0.000 dos_ef_per_ev_fu=1.154 pbc="T T T"
Be 0.000 0.000 0.000
H 0.000 0.000 1.574
H 0.000 1.574 0.000
H 1.574 0.000 0.000
Rh 1.574 1.574 1.574

***

Run x
5
Lattice="3.352 0.000 0.000 0.000 3.352 0.000 0.000 0.000 3.352" Properties=species:S:1:pos:R:3 comment="BeH3Rh | Alexandria | PBE-GGA | relaxed" magnetic_moment_mub_per_fu=0.000 dos_ef_per_ev_fu=0.521 pbc="T T T"
Be 0.000 0.000 0.000
H 0.000 1.676 1.676
H 1.676 0.000 1.676
H 1.676 1.676 0.000
Rh 1.676 1.676 1.676

***

Calculated relative energies: run w 0.182; run x 0.000, given in eV/atom

***

Run w
5
Lattice="3.420 0.000 0.000 0.000 3.420 0.000 0.000 0.000 3.420" Properties=species:S:1:pos:R:3 comment="Be3HRh | Alexandria | PBE-GGA | relaxed" magnetic_moment_mub_per_fu=0.000 dos_ef_per_ev_fu=0.977 pbc="T T T"
Be 0.000 0.000 1.710
Be 0.000 1.710 0.000
Be 1.710 0.000 0.000
H 0.000 0.000 0.000
Rh 1.710 1.710 1.710

***

Run x
5
Lattice="4.190 0.000 0.000 0.000 4.190 0.000 0.000 0.000 4.190" Properties=species:S:1:pos:R:3 comment="Be3HRh | Alexandria | PBE-GGA | relaxed" magnetic_moment_mub_per_fu=0.000 dos_ef_per_ev_fu=2.193 pbc="T T T"
Be 0.000 0.000 2.095
Be 0.000 2.095 0.000
Be 2.095 0.000 0.000
H 2.095 2.095 2.095
Rh 0.000 0.000 0.000

***

Calculated relative energies: run w 0.000; run x 1.181, given in eV/atom

***

Run w
16
Lattice="4.761 0.000 0.000 0.000 4.761 0.000 0.000 0.000 5.924" Properties=species:S:1:pos:R:3 comment="Be2HRh | Alexandria | PBE-GGA | relaxed" magnetic_moment_mub_per_fu=0.000 dos_ef_per_ev_fu=1.753 pbc="T T T"
Be 0.449 1.190 0.740
Be 1.190 2.830 2.221
Be 1.190 4.312 5.183
Be 1.931 1.190 3.702
Be 2.830 3.571 3.702
Be 3.571 0.449 5.183
Be 3.571 1.931 2.221
Be 4.312 3.571 0.740
H 0.000 0.000 0.000
H 0.000 2.380 1.481
H 2.380 0.000 4.443
H 2.380 2.380 2.962
Rh 0.000 0.000 2.962
Rh 0.000 2.380 4.443
Rh 2.380 0.000 1.481
Rh 2.380 2.380 0.000

***

Run x
16
Lattice="5.273 0.000 0.000 0.000 5.273 0.000 0.000 0.000 5.273" Properties=species:S:1:pos:R:3 comment="Be2HRh | Alexandria | PBE-GGA | relaxed" magnetic_moment_mub_per_fu=0.000 dos_ef_per_ev_fu=1.344 pbc="T T T"
Be 1.318 1.318 1.318
Be 1.318 1.318 3.955
Be 1.318 3.955 1.318
Be 1.318 3.955 3.955
Be 3.955 1.318 1.318
Be 3.955 1.318 3.955
Be 3.955 3.955 1.318
Be 3.955 3.955 3.955
H 0.000 0.000 0.000
H 0.000 2.636 2.636
H 2.636 0.000 2.636
H 2.636 2.636 0.000
Rh 0.000 0.000 2.636
Rh 0.000 2.636 0.000
Rh 2.636 0.000 0.000
Rh 2.636 2.636 2.636

***

Run y
12
Lattice="2.749 0.000 0.000 -1.374 2.380 0.000 0.000 0.000 18.777" Properties=species:S:1:pos:R:3 comment="Be2HRh | Alexandria | PBE-GGA | relaxed" magnetic_moment_mub_per_fu=0.000 dos_ef_per_ev_fu=1.534 pbc="T T T"
Be 0.000 0.000 1.445
Be 0.000 0.000 17.332
Be 0.000 1.587 11.073
Be 0.000 1.587 13.964
Be 1.374 0.793 4.814
Be 1.374 0.793 7.705
H 0.000 0.000 0.000
H 0.000 1.587 12.518
H 1.374 0.793 6.259
Rh 0.000 0.000 9.389
Rh 0.000 1.587 3.130
Rh 1.374 0.793 15.648

***

Calculated relative energies: run w 0.015; run x 0.342; run y 0.000, given in eV/atom